1.
16
Lattice="8.846 0.000 0.000 0.000 9.288 0.304 -4.423 -4.419 6.259" Properties=species:S:1:pos:R:3 comment="Na4Th3NpTe8 | Alexandria | PBE | relaxed" sg="No. 166" pbc="T T T"
Na 2.212 -2.209 3.129
Te 2.208 2.372 0.109
Na 0.000 0.000 0.000
Th -2.212 2.435 3.281
Te 4.423 0.160 3.242
Te 4.423 4.729 3.338
Na -2.212 -2.209 3.129
Te 6.638 2.372 0.109
Te 2.215 2.497 6.454
Na 4.423 0.000 0.000
Th 2.212 2.435 3.281
Np 0.000 4.644 0.152
Te 0.000 0.140 3.224
Th 4.423 4.644 0.152
Te -2.215 2.497 6.454
Te 0.000 4.709 3.320

2.
12
Lattice="7.760 -0.001 0.001 -3.879 6.720 0.001 -1.294 -2.240 7.594" Properties=species:S:1:pos:R:3 comment="Na3ThNp2Te6 | Alexandria | PBE | relaxed" sg="No. 12" pbc="T T T"
Te -1.293 2.242 1.813
Na 1.293 2.240 3.798
Na 5.177 -0.003 3.798
Np -0.001 4.481 0.001
Te 2.585 4.477 1.812
Te 3.880 2.238 5.782
Te -0.001 4.479 5.782
Th 0.000 0.000 0.000
Te 2.588 0.000 1.813
Np 3.881 2.239 0.001
Na -2.590 4.483 3.798
Te 0.002 0.003 5.784

3.
12
Lattice="-6.864 3.431 -0.523 0.468 -7.677 0.028 1.542 1.408 7.858" Properties=species:S:1:pos:R:3 comment="Na3Th2NpTe6 | Alexandria | PBE | relaxed" sg="No. 12" pbc="T T T"
Te -0.450 -0.008 5.828
Te -4.404 -2.831 1.535
Na -2.427 -1.419 3.682
Na 0.017 -5.122 3.865
Te -2.433 1.143 1.690
Te -4.868 -0.275 5.489
Th -4.420 -0.272 -0.339
Te -2.420 -3.982 5.673
Te 0.014 -2.564 1.874
Th -1.976 -3.974 -0.156
Na -4.871 2.283 3.498
Np 0.000 0.000 0.000

4.
12
Lattice="-0.526 -6.680 2.764 5.640 4.226 1.693 -5.598 3.602 4.443" Properties=species:S:1:pos:R:3 comment="Na3NpTi2Te6 | Alexandria | PBE | relaxed" sg="No. 12" pbc="T T T"
Te -1.045 -1.748 2.305
Np 0.000 0.000 0.000
Te -2.939 2.130 4.764
Ti 1.490 -3.114 2.414
Te -1.622 -0.964 6.974
Ti 3.624 0.661 2.043
Na -0.242 0.574 4.450
Te 2.455 -0.982 4.136
Te 1.137 2.112 1.926
Na 1.877 4.322 4.082
Na -2.362 -3.174 4.818
Te 0.561 2.896 6.595

5.
12
Lattice="7.486 -0.004 -0.002 -3.744 6.482 -0.002 -1.250 -2.164 7.593" Properties=species:S:1:pos:R:3 comment="Na3Np2TiTe6 | Alexandria | PBE | relaxed" sg="No. 12" pbc="T T T"
Te 0.143 4.319 5.863
Na 4.920 0.035 3.794
Np 0.007 4.316 -0.002
Te 2.571 4.452 1.729
Te 2.348 -0.005 1.726
Ti 0.000 0.000 0.000
Np 3.735 2.163 -0.002
Te -1.178 2.032 1.726
Te 3.669 2.283 5.863
Te -0.080 -0.138 5.859
Na -2.428 4.279 3.794
Na 1.246 2.157 3.794

6.
12
Lattice="-5.760 0.556 -5.198 -1.184 -3.783 6.693 -0.189 7.957 2.976" Properties=species:S:1:pos:R:3 comment="NaNp2Tl3Te6 | Alexandria | PBE | relaxed" sg="No. 12" pbc="T T T"
Np -4.241 -0.884 -1.252
Tl -5.128 3.846 -1.822
Te -2.602 1.699 -1.094
Te -0.971 0.152 3.145
Na 0.000 0.000 0.000
Tl -3.567 2.365 2.235
Te -5.003 -0.651 1.688
Tl -2.005 0.885 6.293
Te -4.531 3.031 5.565
Te -6.162 4.578 1.326
Te -2.130 5.381 2.783
Np -2.703 -2.343 2.746

7.
8
Lattice="-1.062 -1.776 -3.989 5.982 -5.713 0.951 -3.206 -6.198 3.613" Properties=species:S:1:pos:R:3 comment="NaNpTl2Te4 | Alexandria | PBE | relaxed" sg="No. 10" pbc="T T T"
Na 2.460 -3.745 -1.519
Te -1.131 -6.989 0.881
Te 1.959 -8.662 3.335
Tl -3.206 -6.198 3.613
Te 2.845 -6.698 -0.307
Te -0.245 -5.025 -2.761
Np 1.388 -5.955 2.282
Tl -2.134 -3.987 -0.188

8.
16
Lattice="-7.587 4.745 -0.890 -4.832 -8.090 -1.942 4.660 0.370 7.683" Properties=species:S:1:pos:R:3 comment="NaNp3Tl4Te8 | Alexandria | PBE | relaxed" sg="No. 166" pbc="T T T"
Np -3.880 -1.487 2.425
Te -6.829 -2.094 1.610
Te -6.966 1.271 -0.982
Tl 2.330 0.185 3.842
Na -2.416 -4.045 -0.971
Te -4.738 1.449 2.687
Te -0.793 -4.244 5.832
Tl 0.000 0.000 0.000
Te -3.021 -4.423 2.164
Te -4.417 -1.978 5.407
Tl -1.464 2.558 3.396
Np -0.086 -3.860 2.871
Te -3.342 -0.996 -0.556
Np -6.210 -1.672 -1.416
Te -0.930 -0.880 3.241
Tl -3.794 2.373 -0.445

9.
12
Lattice="7.660 0.011 0.004 -3.818 6.641 0.004 -1.277 -2.211 7.546" Properties=species:S:1:pos:R:3 comment="Na3Tm2NpTe6 | Alexandria | PBE | relaxed" sg="No. 12" pbc="T T T"
Na 5.124 0.002 3.777
Na -2.559 4.439 3.777
Te 2.533 4.385 1.754
Te 0.032 0.056 5.801
Te -1.296 2.267 1.748
Na 1.283 2.221 3.777
Te -0.046 4.431 5.807
Te 3.861 2.175 5.807
Te 2.611 0.010 1.748
Np 0.000 0.000 0.000
Tm 3.831 2.223 0.004
Tm 0.011 4.429 0.004

10.
11
Lattice="-4.703 -4.363 3.994 3.984 -2.971 -5.693 5.905 0.774 5.407" Properties=species:S:1:pos:R:3 comment="Na2Tm2NpTe6 | Alexandria | PBE | relaxed" sg="No. 12" pbc="T T T"
Na -3.257 -4.131 2.382
Te 3.763 -4.873 2.675
Tm 4.048 -3.047 0.231
Np 2.952 0.387 2.703
Te 2.499 -5.102 -1.429
Te 2.687 -1.458 5.138
Te 1.423 -1.688 1.034
Na 2.538 -3.203 -4.080
Tm 1.138 -3.513 3.477
Te 5.574 -0.995 1.918
Te -0.388 -5.565 1.790

11.
8
Lattice="4.373 0.000 0.000 0.000 7.706 0.181 0.000 -2.678 7.123" Properties=species:S:1:pos:R:3 comment="NaTmNp2Te4 | Alexandria | PBE | relaxed" sg="No. 10" pbc="T T T"
Te 2.187 3.724 5.509
Te 2.187 1.304 1.796
Te 0.000 -0.069 5.442
Tm 2.187 3.853 0.091
Np 0.000 2.514 3.652
Np 2.187 -1.339 3.562
Te 0.000 5.097 1.863
Na 0.000 0.000 0.000

12.
15
Lattice="-6.663 -1.087 5.561 7.711 -3.795 1.618 -0.703 9.051 0.927" Properties=species:S:1:pos:R:3 comment="Na3Tm3NpTe8 | Alexandria | PBE | relaxed" sg="No. 12" pbc="T T T"
Te 2.149 2.055 6.383
Te -1.285 -0.304 5.279
Np -0.351 4.525 0.464
Te -5.104 1.576 4.478
Tm -3.683 3.982 3.244
Tm 0.172 2.085 4.053
Te 1.630 4.473 2.827
Te -1.713 3.949 5.598
Na 0.524 -2.441 3.590
Te 2.058 0.220 2.509
Na 3.855 -1.897 0.809
Te 5.449 2.593 3.628
Na 0.000 0.000 0.000
Tm 3.504 2.628 1.272
Te -1.804 2.114 1.723

13.
12
Lattice="7.717 -0.002 0.000 -3.858 6.683 0.000 -1.287 -2.228 7.533" Properties=species:S:1:pos:R:3 comment="Na3TmNp2Te6 | Alexandria | PBE | relaxed" sg="No. 12" pbc="T T T"
Na 5.131 0.006 3.766
Te 2.596 4.495 1.755
Na 1.286 2.227 3.766
Np 0.000 4.455 0.000
Te -0.024 -0.042 5.778
Np 3.858 2.227 0.000
Te 2.526 -0.001 1.758
Tm 0.000 0.000 0.000
Te 0.046 4.454 5.775
Te -1.263 2.187 1.758
Te 3.835 2.266 5.775
Na -2.559 4.447 3.766

14.
16
Lattice="-5.505 2.360 6.677 -3.993 -8.168 -0.405 8.899 0.529 1.124" Properties=species:S:1:pos:R:3 comment="Na4TmNp3Te8 | Alexandria | PBE | relaxed" sg="No. 12" pbc="T T T"
Na 4.449 0.264 0.562
Te -5.176 -0.380 4.973
Np -0.300 -2.640 3.698
Te 0.037 -5.157 1.853
Np 2.453 -3.820 0.360
Te 1.762 -3.693 5.839
Na 1.697 1.444 3.901
Na 0.000 0.000 0.000
Tm -1.997 -4.084 -0.203
Te -2.665 -3.984 5.236
Te 2.066 -1.295 2.161
Te -0.637 -0.123 5.543
Te 4.577 -4.900 2.424
Te -2.361 -1.587 1.558
Na -2.752 1.180 3.339
Np -4.749 -2.904 3.136

15.
8
Lattice="-0.071 3.535 2.678 -1.402 -4.601 6.038 7.862 0.803 -0.853" Properties=species:S:1:pos:R:3 comment="Na2TmNpTe4 | Alexandria | PBE | relaxed" sg="No. 10" pbc="T T T"
Tm -0.736 -0.533 4.358
Na 3.230 -1.899 2.593
Te 4.945 -1.064 5.210
Np 0.000 0.000 0.000
Te 1.444 0.802 2.654
Na 3.896 2.169 0.912
Te 0.784 -3.205 4.253
Te 5.676 -0.593 0.932

16.
16
Lattice="8.832 0.000 0.000 0.000 9.114 0.195 -4.416 -4.408 6.245" Properties=species:S:1:pos:R:3 comment="Na4Tm3NpTe8 | Alexandria | PBE | relaxed" sg="No. 166" pbc="T T T"
Na -2.208 -2.204 3.122
Tm -2.208 2.353 3.220
Te 2.162 2.326 6.290
Np 0.000 4.557 0.097
Na 2.208 -2.204 3.122
Te 6.578 2.379 0.149
Te 0.000 0.206 3.263
Te -2.162 2.326 6.290
Na 4.416 0.000 0.000
Te 2.254 2.379 0.149
Te 4.416 0.218 3.209
Tm 2.208 2.353 3.220
Te 0.000 4.488 3.230
Na 0.000 0.000 0.000
Te 4.416 4.500 3.177
Tm 4.416 4.557 0.097

17.
12
Lattice="-0.532 -7.103 2.948 5.069 5.018 2.926 -6.745 3.122 2.945" Properties=species:S:1:pos:R:3 comment="Na3Np2UTe6 | Alexandria | PBE | relaxed" sg="No. 12" pbc="T T T"
Te -4.009 1.859 3.736
Np 3.201 0.977 2.933
Te -1.410 -1.782 2.132
Te 0.446 2.235 2.125
Te 1.801 -0.823 5.083
Np 1.335 -3.062 2.940
U 0.000 0.000 0.000
Na 0.762 4.556 4.402
Na -2.970 -3.520 4.416
Te -2.654 -1.199 6.693
Te -0.798 2.818 6.686
Na -1.104 0.518 4.409

18.
8
Lattice="-2.873 1.082 -3.069 -5.758 -1.436 4.884 2.038 7.416 0.705" Properties=species:S:1:pos:R:3 comment="NaNp2UTe4 | Alexandria | PBE | relaxed" sg="No. 10" pbc="T T T"
Np -0.417 4.249 -1.182
Te 0.095 5.194 1.742
Te -3.814 0.787 3.848
Na -4.316 -0.177 0.908
Np -1.860 2.990 2.795
U 0.000 0.000 0.000
Te -2.369 2.033 -0.136
Te -4.224 5.030 2.657

19.
8
Lattice="4.439 0.000 0.000 0.000 7.684 0.118 0.000 -2.678 7.555" Properties=species:S:1:pos:R:3 comment="Na2NpUTe4 | Alexandria | PBE | relaxed" sg="No. 10" pbc="T T T"
Te 2.220 1.265 1.812
Na 0.000 2.503 3.836
Np 0.000 0.000 0.000
Te 0.000 5.084 1.872
U 2.220 3.842 0.059
Na 2.220 -1.339 3.777
Te 0.000 -0.079 5.801
Te 2.220 3.740 5.860

20.
8
Lattice="4.317 0.000 0.000 0.000 7.223 0.064 0.000 -2.570 7.571" Properties=species:S:1:pos:R:3 comment="Na2NpVTe4 | Alexandria | PBE | relaxed" sg="No. 10" pbc="T T T"
Na 2.159 -1.285 3.785
Np 2.159 3.611 0.032
Na 0.000 2.326 3.817
Te 2.159 1.024 1.617
Te 0.000 -0.266 5.857
V 0.000 0.000 0.000
Te 2.159 3.628 6.017
Te 0.000 4.918 1.777

21.
12
Lattice="-3.317 -3.969 5.010 -0.381 -1.905 -6.934 7.494 -2.225 1.458" Properties=species:S:1:pos:R:3 comment="Na3NpV2Te6 | Alexandria | PBE | relaxed" sg="No. 12" pbc="T T T"
Te 3.637 -5.771 -2.437
Te 4.839 -3.448 0.594
Te 1.211 -1.588 -2.310
Te 2.584 -6.510 1.844
Te 0.159 -2.328 1.970
Na 0.891 -4.757 3.863
Te -1.043 -4.650 -1.060
V -2.345 -3.285 1.054
Na 1.898 -4.049 -0.233
Np 0.000 0.000 0.000
V -1.354 -2.588 -2.978
Na 2.905 -3.341 -4.329

Summary of energy relative to the elements, uncorrected in kJ/mol of formula units
-1587.5, -1064.1, -1166.6, -911.2, -918.3, -665.4, -394.7, -871.3, -1300.4, -1150.7, -641.3, -1649.5, -1115.0, -1409.5, -803.8, -1797.9, -928.2, -475.5, -613.6, -519.1, -738.4
(order as listed above)
Summary of magnetization in μB per atom
0.315, 0.751, 0.449, 0.500, 0.750, 0.500, 0.281, 0.625, 0.333, 0.272, 0.015, 0.199, 0.667, 0.246, 0.500, 0.250, 0.917, 0.753, 0.875, 0.750, 0.666
(order as listed above)
Summary of calculated volume in Å³/atom
32.9, 33.0, 32.9, 28.8, 30.7, 35.5, 35.1, 35.5, 32.0, 34.4, 30.3, 33.6, 32.4, 32.7, 32.2, 31.9, 32.5, 30.5, 32.4, 29.6, 28.3
(order as listed above)